No. 1
Material: Mn5Ni8Sn3
Method: DFT, SCAN
State: PBEsol geometry

Results
Total magnetic moment (μB per cell): 22.65
Theoretical density (g cm⁻³): 8.875
Formation energy from the elements (eV per atom): -0.290

Structure (POSCAR):
```
Mn5Ni8Sn3
1.0
2.081 1.201 13.729
-2.081 1.201 13.729
0.000 -2.403 13.729
Mn Ni Sn
5 8 3
Cartesian
0.000 0.000 0.000
0.000 0.000 5.122
0.000 0.000 15.383
0.000 0.000 25.803
0.000 0.000 36.063
0.000 0.000 2.441
0.000 0.000 7.756
0.000 0.000 12.962
0.000 0.000 18.028
0.000 0.000 23.158
0.000 0.000 28.224
0.000 0.000 33.430
0.000 0.000 38.745
0.000 0.000 10.345
0.000 0.000 20.593
0.000 0.000 30.841
```

No. 2
Material: Li2TaOs
Method: DFT, SCAN
State: PBEsol geometry

Results
Total magnetic moment (μB per cell): 0.00
Offset from the most stable computed form (eV per formula unit): 0.30
Theoretical density (g cm⁻³): 10.392
Formation energy from the elements (eV per atom): 0.181

Structure (POSCAR):
```
Li2TaOs
1.0
2.589 -4.917 0.000
2.589 4.917 0.000
-1.363 0.000 2.417
Li Ta Os
2 1 1
Cartesian
1.294 2.458 0.000
1.294 -2.458 0.000
-0.682 0.000 1.208
1.907 0.000 1.208
```

No. 3
Material: TiCuGeAs2
Method: DFT, SCAN
State: PBEsol geometry

Results
Total magnetic moment (μB per cell): 1.36
Theoretical density (g cm⁻³): 5.075
Formation energy from the elements (eV per atom): 0.966

Structure (POSCAR):
```
TiCuGeAs2
1.0
4.807 0.000 0.000
0.000 4.807 0.000
0.000 0.000 4.729
Ti Cu Ge As
1 1 1 2
Cartesian
0.000 0.000 0.000
2.403 2.403 0.000
0.000 0.000 2.364
0.000 2.403 2.364
2.403 0.000 2.364
```

Copy entry 3 word for word.
Material: TiCuGeAs2
Method: DFT, SCAN
State: PBEsol geometry

Results
Total magnetic moment (μB per cell): 1.36
Theoretical density (g cm⁻³): 5.075
Formation energy from the elements (eV per atom): 0.966

Structure (POSCAR):
```
TiCuGeAs2
1.0
4.807 0.000 0.000
0.000 4.807 0.000
0.000 0.000 4.729
Ti Cu Ge As
1 1 1 2
Cartesian
0.000 0.000 0.000
2.403 2.403 0.000
0.000 0.000 2.364
0.000 2.403 2.364
2.403 0.000 2.364
```

Which of these has the lowest total magnetic moment?
Li2TaOs

Please write out number 2 again, unchanged.
Material: Li2TaOs
Method: DFT, SCAN
State: PBEsol geometry

Results
Total magnetic moment (μB per cell): 0.00
Offset from the most stable computed form (eV per formula unit): 0.30
Theoretical density (g cm⁻³): 10.392
Formation energy from the elements (eV per atom): 0.181

Structure (POSCAR):
```
Li2TaOs
1.0
2.589 -4.917 0.000
2.589 4.917 0.000
-1.363 0.000 2.417
Li Ta Os
2 1 1
Cartesian
1.294 2.458 0.000
1.294 -2.458 0.000
-0.682 0.000 1.208
1.907 0.000 1.208
```

Which of these has the highest formation energy from the elements?
TiCuGeAs2